A plane-wave DFT calculation with PBE-GGA was carried out for a relaxed Cs2Th2Te6Au crystal.

Geometry as POSCAR:
```
Cs2Th2Te6Au
1.0
3.8264 -6.9628 0.0000
3.8264 6.9628 0.0000
-2.5413 0.0000 9.2515
Cs Th Te Au
2 2 6 1
Cartesian
3.8264 4.7713 0.0000
3.8264 -4.7713 0.0000
2.5557 2.3448 4.6258
2.5557 -2.3448 4.6258
0.0651 2.4304 6.4558
0.9854 0.0000 3.0804
0.0651 -2.4304 6.4558
5.0464 2.4304 2.7957
4.1261 0.0000 6.1711
5.0464 -2.4304 2.7957
-1.2706 0.0000 4.6258
```

* crystal system: monoclinic
* space-group type: No. 12
* raw formation energy: -0.926 eV/atom